The following is a DFT calculation (meta-GGA SCAN) of KSrNiN2 at its PBEsol-relaxed geometry.

It has space group P4/mmm (No. 123), with a = 4.0948 Å, b = 4.0948 Å, c = 4.5813 Å, α = 90.00°, β = 90.00° and γ = 90.00°. The asymmetric unit holds K at (0.0000, 0.0000, 0.0000), Sr at (0.5000, 0.5000, 0.0000), Ni at (0.5000, 0.5000, 0.5000) and N at (0.0000, 0.5000, 0.5000).

The formation energy from raw total energies comes out at 0.9208 eV per atom. For the total energy, the calculation gives -60.756 eV per cell.